# Pm2Nd9Sc

A relaxed structure of Pm2Nd9Sc (PBE, Alexandria via LeMat-Bulk).

The structure in extended XYZ format:
```
12
Lattice="5.1495 0.0000 0.0000 0.0000 5.1495 0.0000 0.0000 0.0000 15.4442" Properties=species:S:1:pos:R:3 pbc="T T T"
Nd 2.5748 2.5748 0.0000
Sc 0.0000 0.0000 0.0000
Nd 0.0000 2.5748 7.7221
Nd 2.5748 0.0000 12.9551
Nd 2.5748 0.0000 2.4891
Nd 2.5748 2.5748 10.3396
Pm 0.0000 0.0000 10.3459
Nd 2.5748 0.0000 7.7221
Nd 0.0000 2.5748 12.9551
Pm 0.0000 0.0000 5.0982
Nd 0.0000 2.5748 2.4891
Nd 2.5748 2.5748 5.1046
```

Calculated values
* energy relative to the elements: 0.025 eV per atom
* mass density: 6.62 g/cm3
* total moment: 0.00 μB per cell
* density of states at the Fermi level: 20.4 states/eV per cell